No. 1
The following is a DFT calculation (PBE-GGA) of a geometry-optimized Tb8Sm3Sc3 structure.

The structure belongs to space group Immm (No. 71); the cell edges are 5.391, 9.600 and 17.235 Å and the angles 90.00°, 90.00° and 90.00°. The distinct sites, in fractional coordinates, are Tb at (0.000, 0.155, 0.200), Tb at (0.000, 0.236, 0.376), Sm at (0.000, 0.000, 0.500), Sm at (0.000, 0.243, 0.000), Sc at (0.000, 0.500, 0.170) and Sc at (0.000, 0.500, 0.500).

The value obtained for the calculated formation energy is 372 meV/atom.

No. 2
The following is a DFT calculation (PBE-GGA) of a geometry-optimized KSr2Tl structure.

The structure belongs to space group I-4m2 (No. 119); the cell edges are 5.495, 5.495 and 11.630 Å and the angles 90.00°, 90.00° and 90.00°. The distinct sites, in fractional coordinates, are K at (0.000, 0.000, 0.000), Sr at (0.000, 0.000, 0.500), Sr at (0.000, 0.500, 0.750) and Tl at (0.000, 0.500, 0.250).

The value obtained for the calculated formation energy is 16 meV/atom.

No. 3
The following is a DFT calculation (PBE-GGA) of a geometry-optimized BePbBr2 structure.

The structure belongs to space group P4/mmm (No. 123); the cell edges are 3.955, 3.955 and 7.001 Å and the angles 90.00°, 90.00° and 90.00°. The distinct sites, in fractional coordinates, are Be at (0.000, 0.000, 0.000), Pb at (0.000, 0.000, 0.500) and Br at (0.500, 0.500, 0.255).

For the uncorrected formation energy, the calculation gives 0.28 eV/atom.

No. 4
The following is a DFT calculation (PBE-GGA) of a geometry-optimized Ca4Te3Br structure.

The structure belongs to space group I4/mmm (No. 139); the cell edges are 6.301, 6.301 and 12.595 Å and the angles 90.00°, 90.00° and 90.00°. The distinct sites, in fractional coordinates, are Ca at (0.000, 0.000, 0.247), Ca at (0.000, 0.500, 0.000), Te at (0.000, 0.000, 0.000), Te at (0.000, 0.500, 0.250) and Br at (0.000, 0.000, 0.500).

For the uncorrected formation energy, the calculation gives -1.57 eV/atom.

So what do the calculations give for V? Going down the list: 31.85, 43.90, 27.38, 31.25 Å³/atom.
So what do the calculations give for density of states at the Fermi level? Going down the list: 34.93, 8.80, 1.30, 6.10 states/eV per cell.
So what do the calculations give for magnetic moment? Going down the list: 0.000, 0.003, 0.000, 0.000 Bohr magnetons per cell.